The following is a GGA-PBE calculation of crystalline KIr2Cl at its relaxed geometry, from Alexandria.

Summary:
Distance to the lowest polymorph of the same formula = 0.092 eV per atom
Space-group type = Cm (8)
Density of states at the Fermi level = 3.12 states/eV/cell
Crystal system = monoclinic

Cell lengths 4.3463, 4.3463, 7.9083 Å; angles 105.08, 105.08, 39.74 degrees
Closest atoms and distances in Å follow each position.
Element x y z (fractional)
1 K 0.0000 0.0000 0.0000  2 K 2.95, 3 Cl 3.00-3.07
2 Ir 0.5752 0.5752 0.4463  3 Ir 2.39-2.51
3 Ir 0.8202 0.8202 0.3368  3 Ir 2.39-2.51
4 Cl 0.2072 0.2072 0.7409  2 Ir 2.72, 2 Cl 2.95, 1 K 3.00



The following is a GGA-PBE calculation of crystalline GdSeBr at its relaxed geometry, from Alexandria.

Summary:
Distance to the lowest polymorph of the same formula = 0.110 eV per atom
Space-group type = F-43m (216)
Crystal system = cubic

Cell lengths 4.9527, 4.9527, 4.9527 Å; angles 60.00, 60.00, 60.00 degrees
Closest atoms and distances in Å follow each position.
Element x y z (fractional)
1 Gd 0.0000 0.0000 0.0000  4 Se 3.03, 4 Br 3.03
2 Se 0.7500 0.7500 0.7500  4 Gd 3.03
3 Br 0.2500 0.2500 0.2500  4 Gd 3.03



The following is a GGA-PBE calculation of crystalline NpGa4NiIr2 at its relaxed geometry, from Alexandria.

Summary:
Space-group type = R-3m (166)
Calculated formation energy = -0.316 eV/atom
Density of states at the Fermi level = 12.60 states/eV/cell
Crystal system = trigonal

Cell lengths 8.8113, 8.8113, 8.8113 Å; angles 27.86, 27.86, 27.86 degrees
Closest atoms and distances in Å follow each position.
Element x y z (fractional)
1 Np 0.0000 0.0000 0.0000  6 Ga 2.97
2 Ga 0.1316 0.1316 0.1316  4 Ir 2.58, 3 Ni 2.61
3 Ga 0.3997 0.3997 0.3997  1 Ni 2.55, 3 Ir 2.59
4 Ga 0.6003 0.6003 0.6003  1 Ni 2.55, 3 Ir 2.59
5 Ga 0.8684 0.8684 0.8684  4 Ir 2.58, 3 Ni 2.61
6 Ni 0.5000 0.5000 0.5000  8 Ga 2.55-2.61
7 Ir 0.2334 0.2334 0.2334  7 Ga 2.58-2.59
8 Ir 0.7666 0.7666 0.7666  7 Ga 2.58-2.59



The following is a GGA-PBE calculation of crystalline TmTiTcPd at its relaxed geometry, from Alexandria.

Summary:
Space-group type = F-43m (216)
Calculated formation energy = -0.451 eV/atom
Density of states at the Fermi level = 1.98 states/eV/cell
Crystal system = cubic

Cell lengths 4.6191, 4.6191, 4.6191 Å; angles 60.00, 60.00, 60.00 degrees
Closest atoms and distances in Å follow each position.
Element x y z (fractional)
1 Tm 0.0000 0.0000 0.0000  4 Tc 2.83, 4 Pd 2.83
2 Ti 0.5000 0.5000 0.5000  4 Tc 2.83, 4 Pd 2.83
3 Tc 0.7500 0.7500 0.7500  4 Tm 2.83, 4 Ti 2.83
4 Pd 0.2500 0.2500 0.2500  4 Tm 2.83, 4 Ti 2.83



The following is a GGA-PBE calculation of crystalline ZnTc at its relaxed geometry, from Alexandria.

Summary:
Distance to the lowest polymorph of the same formula = 0.166 eV per atom
Space-group type = P2_12_12_1 (19)
Calculated formation energy = 0.125 eV/atom
Density of states at the Fermi level = 10.22 states/eV/cell
Crystal system = orthorhombic

Cell lengths 4.7787, 5.4330, 8.9143 Å; angles 90.00, 90.00, 90.00 degrees
Closest atoms and distances in Å follow each position.
Element x y z (fractional)
1 Zn 0.0035 0.1169 0.2521  7 Tc 2.65-2.84, 5 Zn 2.68-2.79
2 Zn 0.1875 0.3622 0.9956  5 Zn 2.68-2.79, 7 Tc 2.71-2.86
3 Zn 0.3125 0.6378 0.4956  5 Zn 2.68-2.79, 7 Tc 2.71-2.86
4 Zn 0.4965 0.8831 0.7521  7 Tc 2.65-2.84, 5 Zn 2.68-2.79
5 Zn 0.5035 0.3831 0.7479  7 Tc 2.65-2.84, 5 Zn 2.68-2.79
6 Zn 0.6875 0.1378 0.0044  5 Zn 2.68-2.79, 7 Tc 2.71-2.86
7 Zn 0.8125 0.8622 0.5044  5 Zn 2.68-2.79, 7 Tc 2.71-2.86
8 Zn 0.9965 0.6169 0.2479  7 Tc 2.65-2.84, 5 Zn 2.68-2.79
9 Tc 0.0199 0.1297 0.7373  4 Tc 2.55-2.73, 6 Zn 2.65-2.84
10 Tc 0.1775 0.8611 0.0022  4 Tc 2.55-2.68, 6 Zn 2.70-2.78
11 Tc 0.3225 0.1389 0.5022  4 Tc 2.55-2.68, 6 Zn 2.70-2.78
12 Tc 0.4801 0.8703 0.2373  4 Tc 2.55-2.73, 6 Zn 2.65-2.84
13 Tc 0.5199 0.3703 0.2627  4 Tc 2.55-2.73, 6 Zn 2.65-2.84
14 Tc 0.6775 0.6389 0.9978  4 Tc 2.55-2.68, 6 Zn 2.70-2.78
15 Tc 0.8225 0.3611 0.4978  4 Tc 2.55-2.68, 6 Zn 2.70-2.78
16 Tc 0.9801 0.6297 0.7627  4 Tc 2.55-2.73, 6 Zn 2.65-2.84



The following is a GGA-PBE calculation of crystalline CaNbRe3 at its relaxed geometry, from Alexandria.

Summary:
Distance to the lowest polymorph of the same formula = 0.000 eV per atom
Space-group type = Pm-3m (221)
Calculated formation energy = 1.763 eV/atom
Density of states at the Fermi level = 6.50 states/eV/cell
Crystal system = cubic

Cell lengths 4.8527, 4.8527, 4.8527 Å; angles 90.00, 90.00, 90.00 degrees
Closest atoms and distances in Å follow each position.
Element x y z (fractional)
1 Ca 0.0000 0.0000 0.0000  12 Re 3.43
2 Nb 0.5000 0.5000 0.5000  6 Re 2.43
3 Re 0.0000 0.5000 0.5000  2 Nb 2.43
4 Re 0.5000 0.0000 0.5000  2 Nb 2.43
5 Re 0.5000 0.5000 0.0000  2 Nb 2.43



The following is a GGA-PBE calculation of crystalline Zn3Cu5 at its relaxed geometry, from Alexandria.

Summary:
Distance to the lowest polymorph of the same formula = 0.083 eV per atom
Space-group type = I4/mcm (140)
Calculated formation energy = 0.008 eV/atom
Density of states at the Fermi level = 3.94 states/eV/cell
Crystal system = tetragonal

Cell lengths 7.0383, 7.0383, 7.0383 Å; angles 96.65, 96.65, 140.22 degrees
Closest atoms and distances in Å follow each position.
Element x y z (fractional)
1 Zn 0.1697 0.6697 0.8395  10 Cu 2.45-2.71
2 Zn 0.2500 0.2500 0.0000  2 Zn 2.39, 8 Cu 2.59
3 Zn 0.3303 0.1697 0.5000  10 Cu 2.45-2.71
4 Zn 0.6697 0.8303 0.5000  10 Cu 2.45-2.71
5 Zn 0.7500 0.7500 0.0000  2 Zn 2.39, 8 Cu 2.59
6 Zn 0.8303 0.3303 0.1605  10 Cu 2.45-2.71
7 Cu 0.0739 0.2338 0.3077  6 Zn 2.45-2.71, 1 Cu 2.54
8 Cu 0.2338 0.9261 0.1599  6 Zn 2.45-2.71, 1 Cu 2.54
9 Cu 0.2500 0.7500 0.5000  2 Cu 2.39, 4 Zn 2.55
10 Cu 0.2662 0.4261 0.6923  6 Zn 2.45-2.71, 1 Cu 2.54
11 Cu 0.4261 0.7338 0.1599  6 Zn 2.45-2.71, 1 Cu 2.54
12 Cu 0.5739 0.2662 0.8401  6 Zn 2.45-2.71, 1 Cu 2.54
13 Cu 0.7338 0.5739 0.3077  6 Zn 2.45-2.71, 1 Cu 2.54
14 Cu 0.7500 0.2500 0.5000  2 Cu 2.39, 4 Zn 2.55
15 Cu 0.7662 0.0739 0.8401  6 Zn 2.45-2.71, 1 Cu 2.54
16 Cu 0.9261 0.7662 0.6923  6 Zn 2.45-2.71, 1 Cu 2.54



The following is a GGA-PBE calculation of crystalline InSbH2 at its relaxed geometry, from Alexandria.

Summary:
Distance to the lowest polymorph of the same formula = 0.331 eV per atom
Space-group type = Fm-3m (225)
Density of states at the Fermi level = 1.89 states/eV/cell
Crystal system = cubic

Cell lengths 4.3703, 4.3703, 4.3703 Å; angles 60.00, 60.00, 60.00 degrees
Closest atoms and distances in Å follow each position.
Element x y z (fractional)
1 In 0.0000 0.0000 0.0000  8 H 2.68
2 Sb 0.5000 0.5000 0.5000  8 H 2.68
3 H 0.2500 0.2500 0.2500  4 In 2.68, 4 Sb 2.68
4 H 0.7500 0.7500 0.7500  4 In 2.68, 4 Sb 2.68



The following is a GGA-PBE calculation of crystalline Li7Cd3Rh at its relaxed geometry, from Alexandria.

Summary:
Space-group type = Cmcm (63)
Calculated formation energy = -0.118 eV/atom
Density of states at the Fermi level = 9.62 states/eV/cell
Crystal system = orthorhombic

Cell lengths 9.4424, 9.4424, 15.3183 Å; angles 90.00, 90.00, 162.89 degrees
Closest atoms and distances in Å follow each position.
Element x y z (fractional)
1 Li 0.0134 0.9866 0.6030  4 Li 2.60-2.87, 2 Rh 2.71
2 Li 0.0134 0.9866 0.8970  4 Li 2.60-2.87, 2 Rh 2.71
3 Li 0.1085 0.8915 0.7500  2 Rh 2.71, 4 Li 2.81-2.87, 1 Cd 2.89
4 Li 0.1155 0.8845 0.1672  5 Li 2.54-2.83, 2 Rh 2.66
5 Li 0.1155 0.8845 0.3328  5 Li 2.54-2.83, 2 Rh 2.66
6 Li 0.2522 0.7478 0.0872  3 Cd 2.76-2.88, 5 Li 2.81-3.02
7 Li 0.2522 0.7478 0.4128  3 Cd 2.76-2.88, 5 Li 2.81-3.02
8 Li 0.7478 0.2522 0.5872  3 Cd 2.76-2.88, 5 Li 2.81-3.02
9 Li 0.7478 0.2522 0.9128  3 Cd 2.76-2.88, 5 Li 2.81-3.02
10 Li 0.8845 0.1155 0.6672  5 Li 2.54-2.83, 2 Rh 2.66
11 Li 0.8845 0.1155 0.8328  5 Li 2.54-2.83, 2 Rh 2.66
12 Li 0.8915 0.1085 0.2500  2 Rh 2.71, 4 Li 2.81-2.87, 1 Cd 2.89
13 Li 0.9866 0.0134 0.1030  4 Li 2.60-2.87, 2 Rh 2.71
14 Li 0.9866 0.0134 0.3970  4 Li 2.60-2.87, 2 Rh 2.71
15 Cd 0.2631 0.7369 0.7500  2 Cd 2.81, 9 Li 2.88-2.95
16 Cd 0.3801 0.6199 0.5037  5 Li 2.76-2.93, 2 Cd 2.81
17 Cd 0.3801 0.6199 0.9963  5 Li 2.76-2.93, 2 Cd 2.81
18 Cd 0.6199 0.3801 0.0037  5 Li 2.76-2.93, 2 Cd 2.81
19 Cd 0.6199 0.3801 0.4963  5 Li 2.76-2.93, 2 Cd 2.81
20 Cd 0.7369 0.2631 0.2500  2 Cd 2.81, 9 Li 2.88-2.95
21 Rh 0.4846 0.5154 0.7500  10 Li 2.66-2.71, 2 Rh 2.81
22 Rh 0.5154 0.4846 0.2500  10 Li 2.66-2.71, 2 Rh 2.81



The following is a GGA-PBE calculation of crystalline Rb2Np3TiO12 at its relaxed geometry, from Alexandria.

Summary:
Space-group type = R-3m (166)
Total energy = -8.7091 eV/atom
Density of states at the Fermi level = 4.30 states/eV/cell
Crystal system = trigonal

Cell lengths 7.4990, 7.4990, 7.4990 Å; angles 62.92, 62.92, 62.92 degrees
Closest atoms and distances in Å follow each position.
Element x y z (fractional)
1 Rb 0.1289 0.1289 0.1289  9 O 3.31-3.62
2 Rb 0.8711 0.8711 0.8711  9 O 3.31-3.62
3 Np 0.0000 0.5000 0.5000  6 O 1.99-2.11
4 Np 0.5000 0.0000 0.5000  6 O 1.99-2.11
5 Np 0.5000 0.5000 0.0000  6 O 1.99-2.11
6 Ti 0.5000 0.5000 0.5000  6 O 1.97
7 O 0.1764 0.1764 0.5630  2 Np 2.11
8 O 0.1764 0.5630 0.1764  2 Np 2.11
9 O 0.1976 0.5594 0.5594  1 Ti 1.97, 1 Np 1.99
10 O 0.4370 0.8236 0.8236  2 Np 2.11
11 O 0.4406 0.4406 0.8024  1 Ti 1.97, 1 Np 1.99
12 O 0.4406 0.8024 0.4406  1 Ti 1.97, 1 Np 1.99
13 O 0.5594 0.1976 0.5594  1 Ti 1.97, 1 Np 1.99
14 O 0.5594 0.5594 0.1976  1 Ti 1.97, 1 Np 1.99
15 O 0.5630 0.1764 0.1764  2 Np 2.11
16 O 0.8024 0.4406 0.4406  1 Ti 1.97, 1 Np 1.99
17 O 0.8236 0.4370 0.8236  2 Np 2.11
18 O 0.8236 0.8236 0.4370  2 Np 2.11



The following is a GGA-PBE calculation of crystalline Ir2Rh2W3 at its relaxed geometry, from Alexandria.

Summary:
Space-group type = Cmmm (65)
Calculated formation energy = -0.130 eV/atom
Density of states at the Fermi level = 5.82 states/eV/cell
Crystal system = orthorhombic

Cell lengths 9.9179, 9.9179, 2.7676 Å; angles 90.00, 90.00, 157.00 degrees
Closest atoms and distances in Å follow each position.
Element x y z (fractional)
1 Ir 0.0701 0.9299 0.0000  1 Rh 2.68, 3 Ir 2.72-2.77, 8 W 2.77-2.82
2 Ir 0.9299 0.0701 0.0000  1 Rh 2.68, 3 Ir 2.72-2.77, 8 W 2.77-2.82
3 Rh 0.2078 0.7922 0.0000  4 Rh 2.57-2.77, 1 Ir 2.68, 4 W 2.70
4 Rh 0.7922 0.2078 0.0000  4 Rh 2.57-2.77, 1 Ir 2.68, 4 W 2.70
5 W 0.3549 0.6451 0.5000  4 Rh 2.70, 3 W 2.77-2.82, 4 Ir 2.82
6 W 0.5000 0.5000 0.5000  4 W 2.77-2.82, 8 Ir 2.77
7 W 0.6451 0.3549 0.5000  4 Rh 2.70, 3 W 2.77-2.82, 4 Ir 2.82



The following is a GGA-PBE calculation of crystalline Pu2TlInO8 at its relaxed geometry, from Alexandria.

Summary:
Space-group type = I-4m2 (119)
Total energy = -8.0747 eV/atom
Density of states at the Fermi level = 13.28 states/eV/cell
Crystal system = tetragonal

Cell lengths 6.5393, 6.5393, 6.5393 Å; angles 131.79, 131.79, 70.56 degrees
Closest atoms and distances in Å follow each position.
Element x y z (fractional)
1 Pu 0.0000 0.0000 0.0000  8 O 2.28
2 Pu 0.7500 0.2500 0.5000  8 O 2.28
3 Tl 0.2500 0.7500 0.5000  8 O 2.38
4 In 0.5000 0.5000 0.0000  8 O 2.32
5 O 0.1152 0.1322 0.4927  2 Pu 2.28, 1 In 2.32, 1 Tl 2.38, 1 O 2.54
6 O 0.1152 0.6225 0.9830  2 Pu 2.28, 1 In 2.32, 1 Tl 2.38, 1 O 2.54
7 O 0.3775 0.3605 0.4927  2 Pu 2.28, 1 In 2.32, 1 Tl 2.38, 1 O 2.54
8 O 0.3775 0.8848 0.0170  2 Pu 2.28, 1 In 2.32, 1 Tl 2.38, 1 O 2.54
9 O 0.6395 0.1322 0.0170  2 Pu 2.28, 1 In 2.32, 1 Tl 2.38, 1 O 2.54
10 O 0.6395 0.6225 0.5073  2 Pu 2.28, 1 In 2.32, 1 Tl 2.38, 1 O 2.54
11 O 0.8678 0.3605 0.9830  2 Pu 2.28, 1 In 2.32, 1 Tl 2.38, 1 O 2.54
12 O 0.8678 0.8848 0.5073  2 Pu 2.28, 1 In 2.32, 1 Tl 2.38, 1 O 2.54



Number 1: M_tot 0.00 μB per cell. Number 2: M_tot 7.00 μB per cell. Number 3: M_tot 3.95 μB per cell. Number 4: M_tot 0.00 μB per cell. Number 5: M_tot 0.00 μB per cell. Number 6: M_tot 2.73 μB per cell. Number 7: M_tot 0.00 μB per cell. Number 8: M_tot 0.00 μB per cell. Number 9: M_tot 0.56 μB per cell. Number 10: M_tot 3.00 μB per cell. Number 11: M_tot 0.00 μB per cell. Number 12: M_tot 6.00 μB per cell.